1.
Density functional theory data (GGA-PBEsol) for P2PbAu2 after structural relaxation.

Output
formation enthalpy at 0 K: -0.141 eV per atom

Cell: 3.223 11.374 11.183 Å, 90.00 90.00 90.00°
Space group Cmcm (No. 63)
Inequivalent atoms, fractional coordinates:
P: 0.000 0.201 0.044 (multiplicity 8)
Pb: 0.000 0.476 0.250 (multiplicity 4)
Au: 0.000 0.000 0.000 (multiplicity 4)
Au: 0.000 0.223 0.250 (multiplicity 4)

2.
Density functional theory data (GGA-PBEsol) for PPbAu after structural relaxation.

Output
formation enthalpy at 0 K: -0.030 eV per atom

Cell: 4.1898 4.1898 8.6430 Å, 90.00 90.00 120.00°
Space group P6_3/mmc (No. 194)
Inequivalent atoms, fractional coordinates:
P: 0.3333 0.6667 0.2500 (multiplicity 2)
Pb: 0.0000 0.0000 0.0000 (multiplicity 2)
Au: 0.3333 0.6667 0.7500 (multiplicity 2)

3.
Density functional theory data (GGA-PBEsol) for P2PbAuS after structural relaxation.

Output
uncorrected formation energy: 0.652 eV/atom

Cell: 4.733 4.733 5.006 Å, 90.00 90.00 90.00°
Space group P4/mmm (No. 123)
Inequivalent atoms, fractional coordinates:
P: 0.000 0.500 0.000 (multiplicity 2)
Pb: 0.000 0.000 0.500 (multiplicity 1)
Au: 0.500 0.500 0.000 (multiplicity 1)
S: 0.500 0.500 0.500 (multiplicity 1)

4.
Density functional theory data (GGA-PBEsol) for PPt4Au after structural relaxation.

Output
formation enthalpy at 0 K: 0.436 eV per atom

Cell: 7.350 7.350 7.350 Å, 90.00 90.00 90.00°
Space group F-43m (No. 216)
Inequivalent atoms, fractional coordinates:
P: 0.000 0.000 0.000 (multiplicity 4)
Pt: 0.125 0.125 0.375 (multiplicity 16)
Au: 0.250 0.250 0.750 (multiplicity 4)

5.
Density functional theory data (GGA-PBEsol) for PPt2Au after structural relaxation.

Output
formation enthalpy at 0 K: -0.066 eV per atom

Cell: 2.940 2.940 6.945 Å, 90.00 90.00 90.00°
Space group P4/mmm (No. 123)
Inequivalent atoms, fractional coordinates:
P: 0.000 0.000 0.000 (multiplicity 1)
Pt: 0.500 0.500 0.212 (multiplicity 2)
Au: 0.000 0.000 0.500 (multiplicity 1)

6.
Density functional theory data (GGA-PBEsol) for P2PtAuS after structural relaxation.

Output
uncorrected formation energy: 0.885 eV/atom

Cell: 4.531 4.531 4.880 Å, 90.00 90.00 90.00°
Space group P4/mmm (No. 123)
Inequivalent atoms, fractional coordinates:
P: 0.000 0.500 0.000 (multiplicity 2)
Pt: 0.000 0.000 0.000 (multiplicity 1)
Au: 0.500 0.500 0.500 (multiplicity 1)
S: 0.000 0.000 0.500 (multiplicity 1)

7.
Density functional theory data (GGA-PBEsol) for Sb2PPtAu after structural relaxation.

Output
uncorrected formation energy: 0.768 eV/atom

Cell: 5.126 5.126 4.423 Å, 90.00 90.00 90.00°
Space group P4/mmm (No. 123)
Inequivalent atoms, fractional coordinates:
Sb: 0.000 0.500 0.000 (multiplicity 2)
P: 0.000 0.000 0.000 (multiplicity 1)
Pt: 0.500 0.500 0.500 (multiplicity 1)
Au: 0.000 0.000 0.500 (multiplicity 1)

8.
Density functional theory data (GGA-PBEsol) for ZnP2PtAu after structural relaxation.

Output
formation enthalpy at 0 K: 1.141 eV per atom

Cell: 4.583 4.583 5.081 Å, 90.00 90.00 90.00°
Space group P4/mmm (No. 123)
Inequivalent atoms, fractional coordinates:
Zn: 0.000 0.000 0.000 (multiplicity 1)
P: 0.000 0.500 0.500 (multiplicity 2)
Pt: 0.500 0.500 0.000 (multiplicity 1)
Au: 0.500 0.500 0.500 (multiplicity 1)

9.
Density functional theory data (GGA-PBEsol) for RbP2Au after structural relaxation.

Output
formation enthalpy at 0 K: -0.006 eV per atom

Cell: 4.834 4.834 17.416 Å, 90.00 90.00 90.00°
Space group I4_1/amd (No. 141, origin choice 2)
Inequivalent atoms, fractional coordinates:
Rb: 0.000 0.250 0.375 (multiplicity 4)
P: 0.000 0.000 0.000 (multiplicity 8)
Au: 0.000 0.250 0.875 (multiplicity 4)

10.
Density functional theory data (GGA-PBEsol) for RbP2AuS after structural relaxation.

Output
uncorrected formation energy: 0.453 eV/atom

Cell: 4.813 4.813 5.227 Å, 90.00 90.00 90.00°
Space group P4/mmm (No. 123)
Inequivalent atoms, fractional coordinates:
Rb: 0.000 0.000 0.000 (multiplicity 1)
P: 0.000 0.500 0.500 (multiplicity 2)
Au: 0.500 0.500 0.500 (multiplicity 1)
S: 0.500 0.500 0.000 (multiplicity 1)

11.
Density functional theory data (GGA-PBEsol) for RbPAuS2 after structural relaxation.

Output
uncorrected formation energy: 1.966 eV/atom

Cell: 5.681 5.681 6.068 Å, 90.00 90.00 90.00°
Space group P4/mmm (No. 123)
Inequivalent atoms, fractional coordinates:
Rb: 0.000 0.000 0.000 (multiplicity 1)
P: 0.000 0.000 0.500 (multiplicity 1)
Au: 0.500 0.500 0.500 (multiplicity 1)
S: 0.000 0.500 0.000 (multiplicity 2)

12.
Density functional theory data (GGA-PBEsol) for ReP3Au after structural relaxation.

Output
formation enthalpy at 0 K: 0.745 eV per atom

Cell: 4.575 4.575 4.575 Å, 90.00 90.00 90.00°
Space group Pm-3m (No. 221)
Inequivalent atoms, fractional coordinates:
Re: 0.000 0.000 0.000 (multiplicity 1)
P: 0.000 0.000 0.500 (multiplicity 3)
Au: 0.500 0.500 0.500 (multiplicity 1)

13.
Density functional theory data (GGA-PBEsol) for Re2PAu after structural relaxation.

Output
formation enthalpy at 0 K: 0.257 eV per atom

Cell: 2.953 3.799 5.375 Å, 90.00 104.75 90.00°
Space group P2/m (No. 10)
Inequivalent atoms, fractional coordinates:
Re: 0.138 0.000 0.278 (multiplicity 2)
P: 0.500 0.500 0.500 (multiplicity 1)
Au: 0.500 0.500 0.000 (multiplicity 1)

14.
Density functional theory data (GGA-PBEsol) for RePAu2 after structural relaxation.

Output
formation enthalpy at 0 K: 0.355 eV per atom

Cell: 2.879 3.795 11.847 Å, 90.00 90.00 90.00°
Space group Immm (No. 71)
Inequivalent atoms, fractional coordinates:
Re: 0.000 0.000 0.000 (multiplicity 2)
P: 0.000 0.000 0.500 (multiplicity 2)
Au: 0.000 0.500 0.186 (multiplicity 4)

15.
Density functional theory data (GGA-PBEsol) for RePAu2 after structural relaxation.

Output
formation enthalpy at 0 K: 0.553 eV per atom

Cell: 2.934 4.322 4.915 Å, 90.00 90.00 90.00°
Space group Pmmm (No. 47)
Inequivalent atoms, fractional coordinates:
Re: 0.000 0.000 0.000 (multiplicity 1)
P: 0.500 0.500 0.000 (multiplicity 1)
Au: 0.000 0.500 0.500 (multiplicity 1)
Au: 0.500 0.000 0.500 (multiplicity 1)

16.
Density functional theory data (GGA-PBEsol) for RePAu2 after structural relaxation.

Output
formation enthalpy at 0 K: 0.552 eV per atom

Cell: 2.720 2.720 8.604 Å, 90.00 90.00 90.00°
Space group P4/mmm (No. 123)
Inequivalent atoms, fractional coordinates:
Re: 0.000 0.000 0.000 (multiplicity 1)
P: 0.000 0.000 0.500 (multiplicity 1)
Au: 0.500 0.500 0.243 (multiplicity 2)

17.
Density functional theory data (GGA-PBEsol) for ReP2Au after structural relaxation.

Output
formation enthalpy at 0 K: 0.373 eV per atom

Cell: 2.847 4.716 9.912 Å, 90.00 90.00 90.00°
Space group Cmmm (No. 65)
Inequivalent atoms, fractional coordinates:
Re: 0.000 0.000 0.000 (multiplicity 2)
P: 0.000 0.500 0.198 (multiplicity 4)
Au: 0.000 0.000 0.500 (multiplicity 2)

18.
Density functional theory data (GGA-PBEsol) for Re2PAu after structural relaxation.

Output
formation enthalpy at 0 K: 0.436 eV per atom

Cell: 4.343 4.343 3.015 Å, 90.00 90.00 90.00°
Space group P4/mmm (No. 123)
Inequivalent atoms, fractional coordinates:
Re: 0.000 0.500 0.000 (multiplicity 2)
P: 0.000 0.000 0.500 (multiplicity 1)
Au: 0.500 0.500 0.500 (multiplicity 1)

19.
Density functional theory data (GGA-PBEsol) for RePAu after structural relaxation.

Output
formation enthalpy at 0 K: 1.502 eV per atom

Cell: 6.026 6.026 6.026 Å, 90.00 90.00 90.00°
Space group F-43m (No. 216)
Inequivalent atoms, fractional coordinates:
Re: 0.000 0.000 0.000 (multiplicity 4)
P: 0.000 0.000 0.500 (multiplicity 4)
Au: 0.250 0.250 0.250 (multiplicity 4)

20.
Density functional theory data (GGA-PBEsol) for RePAu after structural relaxation.

Output
formation enthalpy at 0 K: 0.125 eV per atom

Cell: 2.8934 2.8934 6.3867 Å, 90.00 90.00 120.00°
Space group P3m1 (No. 156)
Inequivalent atoms, fractional coordinates:
Re: 0.0000 0.0000 0.0000 (multiplicity 1)
P: 0.6667 0.3333 0.2570 (multiplicity 1)
Au: 0.3333 0.6667 0.6298 (multiplicity 1)

21.
Density functional theory data (GGA-PBEsol) for PRhAu2 after structural relaxation.

Output
formation enthalpy at 0 K: 0.239 eV per atom

Cell: 3.742 3.742 8.830 Å, 90.00 90.00 90.00°
Space group I4/mmm (No. 139)
Inequivalent atoms, fractional coordinates:
P: 0.000 0.000 0.000 (multiplicity 2)
Rh: 0.000 0.000 0.500 (multiplicity 2)
Au: 0.000 0.500 0.250 (multiplicity 4)

22.
Density functional theory data (GGA-PBEsol) for PRhAu2 after structural relaxation.

Output
formation enthalpy at 0 K: 0.272 eV per atom

Cell: 5.270 7.898 2.982 Å, 90.00 90.00 90.00°
Space group Cmmm (No. 65)
Inequivalent atoms, fractional coordinates:
P: 0.000 0.000 0.000 (multiplicity 2)
Rh: 0.000 0.500 0.000 (multiplicity 2)
Au: 0.250 0.250 0.500 (multiplicity 4)

23.
Density functional theory data (GGA-PBEsol) for P2RhAu after structural relaxation.

Output
formation enthalpy at 0 K: 0.135 eV per atom

Cell: 2.757 4.597 10.092 Å, 90.00 90.00 90.00°
Space group Immm (No. 71)
Inequivalent atoms, fractional coordinates:
P: 0.000 0.000 0.193 (multiplicity 4)
Rh: 0.000 0.500 0.500 (multiplicity 2)
Au: 0.000 0.500 0.000 (multiplicity 2)

24.
Density functional theory data (GGA-PBEsol) for PRhAu2 after structural relaxation.

Output
formation enthalpy at 0 K: 0.284 eV per atom

Cell: 3.060 3.794 5.340 Å, 90.00 90.00 90.00°
Space group Pmmm (No. 47)
Inequivalent atoms, fractional coordinates:
P: 0.000 0.000 0.000 (multiplicity 1)
Rh: 0.000 0.000 0.500 (multiplicity 1)
Au: 0.500 0.500 0.249 (multiplicity 2)

25.
Density functional theory data (GGA-PBEsol) for P2RhAu after structural relaxation.

Output
formation enthalpy at 0 K: -0.095 eV per atom

Cell: 4.061 3.817 4.153 Å, 90.00 90.87 90.00°
Space group P2/m (No. 10)
Inequivalent atoms, fractional coordinates:
P: 0.152 0.000 0.295 (multiplicity 2)
Rh: 0.000 0.500 0.000 (multiplicity 1)
Au: 0.500 0.500 0.500 (multiplicity 1)

26.
Density functional theory data (GGA-PBEsol) for P2RhAu after structural relaxation.

Output
formation enthalpy at 0 K: 0.114 eV per atom

Cell: 3.029 4.521 8.410 Å, 90.00 90.00 90.00°
Space group Imm2 (No. 44)
Inequivalent atoms, fractional coordinates:
P: 0.000 0.000 0.000 (multiplicity 2)
P: 0.000 0.500 0.275 (multiplicity 2)
Rh: 0.000 0.500 0.714 (multiplicity 2)
Au: 0.000 0.000 0.507 (multiplicity 2)

27.
Density functional theory data (GGA-PBEsol) for P2RhAu after structural relaxation.

Output
formation enthalpy at 0 K: -0.116 eV per atom

Cell: 4.190 3.219 4.859 Å, 90.00 115.35 90.00°
Space group Pm (No. 6)
Inequivalent atoms, fractional coordinates:
P: 0.000 0.000 0.000 (multiplicity 1)
P: 0.421 0.500 0.129 (multiplicity 1)
Rh: 0.860 0.000 0.427 (multiplicity 1)
Au: 0.463 0.500 0.657 (multiplicity 1)

28.
Density functional theory data (GGA-PBEsol) for P2RhAu after structural relaxation.

Output
formation enthalpy at 0 K: 0.049 eV per atom

Cell: 3.184 3.184 5.805 Å, 90.00 90.00 90.00°
Space group P4/mmm (No. 123)
Inequivalent atoms, fractional coordinates:
P: 0.000 0.000 0.209 (multiplicity 2)
Rh: 0.500 0.500 0.000 (multiplicity 1)
Au: 0.500 0.500 0.500 (multiplicity 1)

29.
Density functional theory data (GGA-PBEsol) for P3RhAu after structural relaxation.

Output
formation enthalpy at 0 K: 1.466 eV per atom

Cell: 4.652 4.652 4.652 Å, 90.00 90.00 90.00°
Space group Pm-3m (No. 221)
Inequivalent atoms, fractional coordinates:
P: 0.000 0.000 0.500 (multiplicity 3)
Rh: 0.500 0.500 0.500 (multiplicity 1)
Au: 0.000 0.000 0.000 (multiplicity 1)

30.
Density functional theory data (GGA-PBEsol) for PRh2Au after structural relaxation.

Output
formation enthalpy at 0 K: -0.092 eV per atom

Cell: 3.012 4.238 4.823 Å, 90.00 98.54 90.00°
Space group Pm (No. 6)
Inequivalent atoms, fractional coordinates:
P: 0.000 0.000 0.000 (multiplicity 1)
Rh: 0.578 0.000 0.350 (multiplicity 1)
Rh: 0.722 0.500 0.997 (multiplicity 1)
Au: 0.141 0.500 0.528 (multiplicity 1)

no.,total magnetic moment (μB per cell)
1,0.00
2,0.00
3,0.06
4,0.00
5,0.00
6,0.00
7,0.00
8,0.00
9,0.00
10,1.06
11,5.12
12,0.00
13,0.00
14,0.00
15,0.00
16,0.00
17,0.00
18,0.00
19,7.82
20,0.00
21,0.00
22,0.00
23,0.00
24,0.00
25,0.00
26,0.00
27,0.00
28,0.00
29,0.00
30,0.00